Below is Y2O3 at its PBEsol-relaxed geometry, with properties calculated at the SCAN level.

Values from the calculation:
mass density	5.3	g/cm³
uncorrected formation energy	-3.8891	eV per atom
SG	R-3c, No. 167
DFT total energy	-18.765	eV/atom

abc: 5.9831 5.9831 5.9831
angles: 57.45 57.45 57.45
With the nearest neighbours (Å) after each atom.
Fractional coordinates of all 10 atoms:
Y (0.1413, 0.1413, 0.1413)  6 O 2.22-2.33
Y (0.3587, 0.3587, 0.3587)  6 O 2.22-2.33
Y (0.6413, 0.6413, 0.6413)  6 O 2.22-2.33
Y (0.8587, 0.8587, 0.8587)  6 O 2.22-2.33
O (0.0418, 0.7500, 0.4582)  4 Y 2.22-2.33
O (0.2500, 0.5418, 0.9582)  4 Y 2.22-2.33
O (0.4582, 0.0418, 0.7500)  4 Y 2.22-2.33
O (0.5418, 0.9582, 0.2500)  4 Y 2.22-2.33
O (0.7500, 0.4582, 0.0418)  4 Y 2.22-2.33
O (0.9582, 0.2500, 0.5418)  4 Y 2.22-2.33